VASP calculation (PBE) on an optimized crystal structure of Be2NbOsS.

The formation energy (no corrections) is 1.639 eV per atom. As for the space group: P4/mmm, No. 123. Its electronic total energy is -24.7 eV/f.u. As for the size of the total moment: 0.000 μB/f.u.

a b c (Å): 4.2609 4.2609 4.5046
angles (deg): 90.00 90.00 90.00
Element x y z (fractional)
Be1 0.0000 0.5000 0.0000
Be2 0.5000 0.0000 0.0000
Nb1 0.0000 0.0000 0.0000
Os1 0.5000 0.5000 0.5000
S1 0.0000 0.0000 0.5000